Entry 1:
Below is ScCdHg2 after structural relaxation, with properties calculated at the GGA-PBE level.

Unit cell a=4.1732 b=4.5969 c=4.5969 alpha=90.00 beta=90.00 gamma=90.00
Fractional coordinates of all 4 atoms:
Sc (0.5000, 0.5000, 0.5000)
Hg (0.0000, 0.0000, 0.5000)
Hg (0.0000, 0.5000, 0.0000)
Cd (0.5000, 0.0000, 0.0000)

**Spin magnetization**: 0.00 μB per atom
**Crystal system**: tetragonal
**Calculated density**: 10.5 g/cm³
**Symmetry**: P4/mmm (123)
**ΔE_f**: -5.396 kcal/mol of atoms

***

Entry 2:
Below is ScCd6Hg2 after structural relaxation, with properties calculated at the GGA-PBE level.

Unit cell a=4.2915 b=7.2182 c=7.2040 alpha=107.40 beta=107.33 gamma=90.00
Fractional coordinates of all 9 atoms:
Sc (0.5000, 0.5000, 0.0000)
Cd (0.3925, 0.8438, 0.7851)
Cd (0.6075, 0.1562, 0.2149)
Cd (0.7236, 0.8360, 0.4473)
Cd (0.1718, 0.4988, 0.3436)
Cd (0.2764, 0.1640, 0.5527)
Cd (0.8282, 0.5012, 0.6564)
Hg (0.9467, 0.1901, 0.8934)
Hg (0.0533, 0.8099, 0.1066)

**Spin magnetization**: 0.00 μB per atom
**Crystal system**: monoclinic
**Calculated density**: 9.2 g/cm³
**Symmetry**: C2/m (12)
**Relative energy among the computed polymorphs**: 0 meV per atom
**ΔE_f**: -1.910 kcal/mol of atoms

***

Entry 3:
Below is Sc5Cd4Hg after structural relaxation, with properties calculated at the GGA-PBE level.

Unit cell a=3.5371 b=3.5371 c=17.6511 alpha=90.00 beta=90.00 gamma=90.00
Fractional coordinates of all 10 atoms:
Sc (0.5000, 0.5000, 0.0984)
Sc (0.5000, 0.5000, 0.2993)
Sc (0.5000, 0.5000, 0.5000)
Sc (0.5000, 0.5000, 0.7007)
Sc (0.5000, 0.5000, 0.9016)
Cd (0.0000, 0.0000, 0.2004)
Cd (0.0000, 0.0000, 0.3995)
Cd (0.0000, 0.0000, 0.6005)
Cd (0.0000, 0.0000, 0.7996)
Hg (0.0000, 0.0000, 0.0000)

**Spin magnetization**: 0.00 μB per atom
**Crystal system**: tetragonal
**Calculated density**: 6.6 g/cm³
**Symmetry**: P4/mmm (123)
**ΔE_f**: -7.377 kcal/mol of atoms

***

Entry 4:
Below is Sc2CdHg after structural relaxation, with properties calculated at the GGA-PBE level.

Unit cell a=6.0295 b=6.0295 c=6.0295 alpha=146.85 beta=131.06 gamma=60.39
Site moments in Bohr magnetons follow the coordinates.
Fractional coordinates of all 4 atoms:
Cd (0.4870, 0.4870, 0.0000)  0.01
Hg (0.2557, 0.7557, 0.5000)  0.01
Sc (0.0120, 0.0120, 0.0000)  0.12
Sc (0.7453, 0.2453, 0.5000)  0.13

**Spin magnetization**: 0.11 μB per atom
**Crystal system**: orthorhombic
**Calculated density**: 7.5 g/cm³
**Symmetry**: Imm2 (44)
**Relative energy among the computed polymorphs**: 118 meV per atom
**ΔE_f**: -5.601 kcal/mol of atoms